Compound: CdB3Cl
Source: the Alexandria database
Functional: PBE
Structure: relaxed

The value obtained for the energy relative to the lowest polymorph listed for this composition is 9.9 kJ per mole of atoms. The crystal system is cubic. As for the space-group type: Pm-3m, No. 221. For the uncorrected formation energy, the calculation gives 2.2599 eV per atom.

Lattice parameters (Å, degrees): 4.0375 4.0375 4.0375 90.00 90.00 90.00
Positions (direct):
Cd1 0.0000 0.0000 0.0000
B1 0.0000 0.5000 0.5000
B2 0.5000 0.0000 0.5000
B3 0.5000 0.5000 0.0000
Cl1 0.5000 0.5000 0.5000

Compound: Cd2BCl4
Source: the Alexandria database
Functional: PBE
Structure: relaxed

The crystal system is tetragonal. As for the space-group type: I4/mmm, No. 139. For the uncorrected formation energy, the calculation gives -0.0569 eV per atom.

Lattice parameters (Å, degrees): 7.2839 7.2839 7.2839 137.95 137.95 60.98
Positions (direct):
Cd1 0.1134 0.1134 0.0000
Cd2 0.8866 0.8866 0.0000
B1 0.5000 0.5000 0.0000
Cl1 0.0000 0.5000 0.5000
Cl2 0.3090 0.3090 0.0000
Cl3 0.5000 0.0000 0.5000
Cl4 0.6910 0.6910 0.0000

Compound: CdB2Cl2
Source: the Alexandria database
Functional: PBE
Structure: relaxed

The crystal system is tetragonal. As for the space-group type: P4/mmm, No. 123. For the uncorrected formation energy, the calculation gives 0.3715 eV per atom.

Lattice parameters (Å, degrees): 5.3614 5.3614 3.2051 90.00 90.00 90.00
Positions (direct):
Cd1 0.0000 0.0000 0.0000
B1 0.5000 0.5000 0.0000
B2 0.5000 0.5000 0.5000
Cl1 0.0000 0.5000 0.5000
Cl2 0.5000 0.0000 0.5000